# Rb3Pu3UTe8 | the Alexandria database | GGA-PBE | relaxed
data_Rb3Pu3UTe8
_chemical_formula_sum 'Rb9 Pu9 U3 Te24'
_cell_length_a 9.0675
_cell_length_b 9.0675
_cell_length_c 25.9791
_cell_angle_alpha 90.00
_cell_angle_beta 90.00
_cell_angle_gamma 120.00
_symmetry_space_group_name_H-M 'R -3 m'
_symmetry_Int_Tables_number 166
_symmetry_space_group_name_Hall '-R 3 2"'
loop_
_atom_site_label
_atom_site_type_symbol
_atom_site_fract_x
_atom_site_fract_y
_atom_site_fract_z
Rb1 Rb 0.0000 0.5000 0.0000
Pu1 Pu 0.0000 0.5000 0.5000
U1 U 0.0000 0.0000 0.5000
Te1 Te 0.0000 0.0000 0.2330
Te2 Te 0.0068 0.5034 0.2318
# N(E_F) (states/eV per cell): 134.55
# E_form (uncorrected) (meV per atom): -1019
# Size of the total moment (μB per formula unit): 17.000
# Electronic total energy (eV per atom): -6.507

=====

# Ca2PmCd | the Alexandria database | GGA-PBE | relaxed
data_Ca2PmCd
_chemical_formula_sum 'Ca2 Pm1 Cd1'
_cell_length_a 4.132
_cell_length_b 4.132
_cell_length_c 7.680
_cell_angle_alpha 90.00
_cell_angle_beta 90.00
_cell_angle_gamma 90.00
_symmetry_space_group_name_H-M 'P 4/m m m'
_symmetry_Int_Tables_number 123
_symmetry_space_group_name_Hall '-P 4 2'
loop_
_atom_site_label
_atom_site_type_symbol
_atom_site_fract_x
_atom_site_fract_y
_atom_site_fract_z
Ca1 Ca 0.000 0.000 0.226
Pm1 Pm 0.500 0.500 0.500
Cd1 Cd 0.500 0.500 0.000
# DFT formation energy (eV/atom): -0.071
# Relative energy among the computed polymorphs (meV/atom): 0
# N(E_F) (states/eV per cell): 3.90
# Size of the total moment (μB per formula unit): 0.000
# Electronic total energy (eV per atom): -2.488

=====

# Tb2TeCl | the Alexandria database | GGA-PBE | relaxed
data_Tb2TeCl
_chemical_formula_sum 'Tb6 Te3 Cl3'
_cell_length_a 3.8468
_cell_length_b 3.8468
_cell_length_c 24.6340
_cell_angle_alpha 90.00
_cell_angle_beta 90.00
_cell_angle_gamma 120.00
_symmetry_space_group_name_H-M 'R 3 m'
_symmetry_Int_Tables_number 160
_symmetry_space_group_name_Hall 'R 3 -2"'
loop_
_atom_site_label
_atom_site_type_symbol
_atom_site_fract_x
_atom_site_fract_y
_atom_site_fract_z
Tb1 Tb 0.0000 0.0000 0.0000
Tb2 Tb 0.0000 0.0000 0.1631
Te1 Te 0.0000 0.0000 0.5819
Cl1 Cl 0.0000 0.0000 0.7481
# Relative energy among the computed polymorphs (meV/atom): 0
# N(E_F) (states/eV per cell): 10.74
# E_form (uncorrected) (meV per atom): -1158
# Size of the total moment (μB per formula unit): 0.002
# Electronic total energy (eV per atom): -4.720

=====

# Hf2AgAsIr | the Alexandria database | GGA-PBE | relaxed
data_Hf2AgAsIr
_chemical_formula_sum 'Hf2 Ag1 As1 Ir1'
_cell_length_a 5.086
_cell_length_b 5.086
_cell_length_c 4.605
_cell_angle_alpha 90.00
_cell_angle_beta 90.00
_cell_angle_gamma 90.00
_symmetry_space_group_name_H-M 'P 4/m m m'
_symmetry_Int_Tables_number 123
_symmetry_space_group_name_Hall '-P 4 2'
loop_
_atom_site_label
_atom_site_type_symbol
_atom_site_fract_x
_atom_site_fract_y
_atom_site_fract_z
Hf1 Hf 0.000 0.500 0.000
Ag1 Ag 0.000 0.000 0.500
As1 As 0.500 0.500 0.500
Ir1 Ir 0.500 0.500 0.000
# DFT formation energy (eV/atom): 0.372
# N(E_F) (states/eV per cell): 3.93
# Size of the total moment (μB per formula unit): 0.000
# Electronic total energy (eV per atom): -6.882

=====

# Na3Sr8 | the Alexandria database | GGA-PBE | relaxed
data_Na3Sr8
_chemical_formula_sum 'Na6 Sr16'
_cell_length_a 11.384
_cell_length_b 6.583
_cell_length_c 15.173
_cell_angle_alpha 90.00
_cell_angle_beta 104.14
_cell_angle_gamma 90.00
_symmetry_space_group_name_H-M 'C 1 2/m 1'
_symmetry_Int_Tables_number 12
loop_
_symmetry_equiv_pos_as_xyz
'x,y,z'
'-x,-y,-z'
'-x,y,-z'
'x,-y,z'
'x+1/2,y+1/2,z'
'-x+1/2,-y+1/2,-z'
'-x+1/2,y+1/2,-z'
'x+1/2,-y+1/2,z'
loop_
_atom_site_label
_atom_site_type_symbol
_atom_site_fract_x
_atom_site_fract_y
_atom_site_fract_z
Na1 Na 0.000 0.000 0.000
Na2 Na 0.231 0.500 0.188
Sr1 Sr 0.045 0.500 0.636
Sr2 Sr 0.087 0.000 0.258
Sr3 Sr 0.139 0.500 0.918
Sr4 Sr 0.182 0.000 0.547
# DFT formation energy (eV/atom): 0.023
# N(E_F) (states/eV per cell): 18.03
# Size of the total moment (μB per formula unit): 0.000
# Electronic total energy (eV per atom): -1.560

=====

# Ba4Cu6F19 | the Alexandria database | GGA-PBE | relaxed
data_Ba4Cu6F19
_chemical_formula_sum 'Ba8 Cu12 F38'
_cell_length_a 9.548
_cell_length_b 9.548
_cell_length_c 9.548
_cell_angle_alpha 90.00
_cell_angle_beta 90.00
_cell_angle_gamma 90.00
_symmetry_space_group_name_H-M 'I 2 3'
_symmetry_Int_Tables_number 197
_symmetry_space_group_name_Hall 'I 2 2 3'
loop_
_atom_site_label
_atom_site_type_symbol
_atom_site_fract_x
_atom_site_fract_y
_atom_site_fract_z
Ba1 Ba 0.166 0.166 0.166
Cu1 Cu 0.000 0.159 0.500
F1 F 0.000 0.000 0.000
F2 F 0.000 0.000 0.336
F3 F 0.037 0.299 0.668
# N(E_F) (states/eV per cell): 33.51
# E_form (uncorrected) (meV per atom): -2479
# Size of the total moment (μB per formula unit): 5.001
# Electronic total energy (eV per atom): -4.818

=====

# Ge2PdPtC | the Alexandria database | GGA-PBE | relaxed
data_Ge2PdPtC
_chemical_formula_sum 'Ge2 Pd1 Pt1 C1'
_cell_length_a 4.627
_cell_length_b 4.627
_cell_length_c 5.120
_cell_angle_alpha 90.00
_cell_angle_beta 90.00
_cell_angle_gamma 90.00
_symmetry_space_group_name_H-M 'P 4/m m m'
_symmetry_Int_Tables_number 123
_symmetry_space_group_name_Hall '-P 4 2'
loop_
_atom_site_label
_atom_site_type_symbol
_atom_site_fract_x
_atom_site_fract_y
_atom_site_fract_z
Ge1 Ge 0.000 0.500 0.000
Pd1 Pd 0.000 0.000 0.000
Pt1 Pt 0.000 0.000 0.500
C1 C 0.500 0.500 0.500
# DFT formation energy (eV/atom): 1.800
# Relative energy among the computed polymorphs (meV/atom): 1224
# N(E_F) (states/eV per cell): 3.76
# Size of the total moment (μB per formula unit): 0.772
# Electronic total energy (eV per atom): -4.139

=====

# Sm2AlP | the Alexandria database | GGA-PBE | relaxed
data_Sm2AlP
_chemical_formula_sum 'Sm6 Al3 P3'
_cell_length_a 3.8325
_cell_length_b 3.8325
_cell_length_c 28.9854
_cell_angle_alpha 90.00
_cell_angle_beta 90.00
_cell_angle_gamma 120.00
_symmetry_space_group_name_H-M 'R -3 m'
_symmetry_Int_Tables_number 166
_symmetry_space_group_name_Hall '-R 3 2"'
loop_
_atom_site_label
_atom_site_type_symbol
_atom_site_fract_x
_atom_site_fract_y
_atom_site_fract_z
Sm1 Sm 0.0000 0.0000 0.1094
Al1 Al 0.0000 0.0000 0.0000
P1 P 0.0000 0.0000 0.5000
# DFT formation energy (eV/atom): -0.397
# N(E_F) (states/eV per cell): 13.63
# Size of the total moment (μB per formula unit): 0.000
# Electronic total energy (eV per atom): -5.044